No. 1
VASP calculation (PBE) on a relaxed BP2Au crystal.

abc: 3.223 3.223 5.960
angles: 90.00 90.00 90.00
Space group P-4m2 (No. 115)
One atom of each set of equivalent atoms:
B 0.000 0.000 0.000 (multiplicity 1)
P 0.000 0.500 0.813 (multiplicity 2)
Au 0.500 0.500 0.500 (multiplicity 1)

Computed properties:
energy = -21.16 eV for the cell shown
crystal system = tetragonal
ΔE_f = -97 meV/atom
total magnetization = 0.00 μB per formula unit



No. 2
VASP calculation (PBE) on a relaxed GdYAlPb crystal.

abc: 7.523 7.523 7.523
angles: 90.00 90.00 90.00
Space group F-43m (No. 216)
One atom of each set of equivalent atoms:
Gd 0.000 0.000 0.000 (multiplicity 4)
Y 0.000 0.000 0.500 (multiplicity 4)
Al 0.250 0.250 0.750 (multiplicity 4)
Pb 0.250 0.250 0.250 (multiplicity 4)

Computed properties:
energy = -117.75 eV for the cell shown
crystal system = cubic
ΔE_f = -361 meV/atom
total magnetization = 7.11 μB per formula unit